Below is GaCuGe after structural relaxation, with properties calculated at the PBE-GGA level.

Computed properties:
Crystal system = triclinic
Calculated volume = 16.9 A^3/atom
Electronic total energy = -3.81 eV per atom

Unit cell a=2.8266 b=5.8351 c=6.6612 alpha=70.56 beta=78.15 gamma=89.94
Closest atoms and distances in Å follow each position.
Space group P1 (No. 1)
One atom of each set of equivalent atoms:
Ga 0.0000 0.0000 0.0000  3 Cu 2.53-2.72, 3 Ga 2.61-2.83, 1 Ge 2.69
Ga 0.2185 0.2133 0.5780  3 Cu 2.56-2.60, 3 Ga 2.61-2.83, 1 Ge 2.75
Cu 0.4180 0.2493 0.1692  3 Ga 2.53-2.60, 3 Ge 2.59-2.66, 4 Cu 2.60-2.83
Cu 0.8495 0.5447 0.3036  3 Ge 2.52-2.57, 3 Ga 2.56-2.72, 2 Cu 2.60
Ge 0.0514 0.5919 0.8966  3 Cu 2.57-2.60, 3 Ge 2.67-2.83, 1 Ga 2.69
Ge 0.2712 0.8011 0.4624  3 Cu 2.52-2.66, 1 Ge 2.67, 1 Ga 2.75